Here is a geometry-optimized Mg4AlAg structure from Alexandria. Energies are from PBE.

```
6
Lattice="-2.799 -4.263 2.204 -0.044 1.196 -5.425 5.303 -1.361 0.941" Properties=species:S:1:pos:R:3 pbc="T T T"
Al 0.000 0.000 0.000
Mg 2.349 0.003 -4.238
Mg 1.754 -4.482 0.558
Mg -0.670 -2.675 0.976
Mg 1.489 -1.701 -1.856
Ag -1.421 -1.533 -1.610
```

Summary:
SG: I422, No. 97
Calculated formation energy (eV per atom): -0.0743
Energy (eV per atom): -2.236

=====

Here is a geometry-optimized MgAl4Ag7 structure from Alexandria. Energies are from PBE.

```
12
Lattice="-3.025 -3.137 -1.313 4.291 -0.207 -1.504 2.833 -6.490 8.977" Properties=species:S:1:pos:R:3 pbc="T T T"
Al 0.377 -4.366 1.674
Al -0.325 -2.760 -0.547
Al 3.723 -5.468 4.486
Al 4.424 -7.074 6.708
Ag 0.725 -1.662 2.298
Ag 1.094 -6.010 3.948
Ag 3.005 -3.824 2.212
Ag 2.108 -4.829 6.679
Ag 0.000 0.000 0.000
Ag 1.829 -7.693 6.275
Ag 2.271 -2.141 -0.115
Mg 1.417 -3.245 4.489
```

Summary:
SG: P-3m1, No. 164
Calculated formation energy (eV per atom): -0.0652
Energy (eV per atom): -3.109

=====

calculated formation energy of number 1 (Mg4AlAg)?
-0.0743 eV per atom